# 1
Entry from Alexandria: a PBEsol-optimized structure of LiSiNi6 (meta-GGA SCAN).

abc: 5.9910 5.9910 9.7874
angles: 90.00 90.00 109.31
Closest atoms and distances in Å follow each position.
Fractional positions:
Ni 0.6295 0.8808 0.6236  8 Ni 2.41-2.47, 3 Si 2.43-2.45, 1 Li 2.48
Ni 0.2487 0.7513 0.2526  8 Ni 2.41-2.48, 2 Si 2.42-2.43, 2 Li 2.46-2.47
Ni 0.8808 0.6295 0.6236  8 Ni 2.41-2.47, 3 Si 2.43-2.45, 1 Li 2.48
Ni 0.5000 0.5000 0.0000  4 Li 2.41-2.45, 8 Ni 2.47
Li 0.2529 0.7471 0.0000  12 Ni 2.41-2.47
Ni 0.3705 0.1192 0.6236  8 Ni 2.41-2.47, 3 Si 2.43-2.45, 1 Li 2.48
Si 0.7419 0.2581 0.5000  12 Ni 2.36-2.52
Ni 0.7513 0.2487 0.7474  8 Ni 2.41-2.48, 2 Si 2.42-2.43, 2 Li 2.46-2.47
Ni 0.0000 0.0000 0.0000  2 Si 2.41, 8 Ni 2.43, 2 Li 2.47
Ni 0.7513 0.2487 0.2526  8 Ni 2.41-2.48, 2 Si 2.42-2.43, 2 Li 2.46-2.47
Li 0.5000 0.5000 0.2504  12 Ni 2.44-2.48
Li 0.7471 0.2529 0.0000  12 Ni 2.41-2.47
Ni 0.1192 0.3705 0.6236  8 Ni 2.41-2.47, 3 Si 2.43-2.45, 1 Li 2.48
Ni 0.3705 0.1192 0.3764  8 Ni 2.41-2.47, 3 Si 2.43-2.45, 1 Li 2.48
Si 0.0000 0.0000 0.2463  12 Ni 2.41-2.48
Ni 0.6289 0.8778 0.1262  1 Si 2.41, 8 Ni 2.43-2.48, 3 Li 2.45-2.46
Ni 0.8808 0.6295 0.3764  8 Ni 2.41-2.47, 3 Si 2.43-2.45, 1 Li 2.48
Ni 0.2487 0.7513 0.7474  8 Ni 2.41-2.48, 2 Si 2.42-2.43, 2 Li 2.46-2.47
Si 0.0000 0.0000 0.7537  12 Ni 2.41-2.48
Ni 0.8778 0.6289 0.8738  1 Si 2.41, 8 Ni 2.43-2.48, 3 Li 2.45-2.46
Si 0.2581 0.7419 0.5000  12 Ni 2.36-2.52
Ni 0.1222 0.3711 0.8738  1 Si 2.41, 8 Ni 2.43-2.48, 3 Li 2.45-2.46
Ni 0.6295 0.8808 0.3764  8 Ni 2.41-2.47, 3 Si 2.43-2.45, 1 Li 2.48
Ni 0.1192 0.3705 0.3764  8 Ni 2.41-2.47, 3 Si 2.43-2.45, 1 Li 2.48
Ni 0.0000 0.0000 0.5000  8 Ni 2.42, 4 Si 2.48-2.52
Ni 0.6289 0.8778 0.8738  1 Si 2.41, 8 Ni 2.43-2.48, 3 Li 2.45-2.46
Li 0.5000 0.5000 0.7496  12 Ni 2.44-2.48
Ni 0.3711 0.1222 0.8738  1 Si 2.41, 8 Ni 2.43-2.48, 3 Li 2.45-2.46
Ni 0.8778 0.6289 0.1262  1 Si 2.41, 8 Ni 2.43-2.48, 3 Li 2.45-2.46
Ni 0.5000 0.5000 0.5000  2 Si 2.36, 2 Li 2.44, 8 Ni 2.47
Ni 0.3711 0.1222 0.1262  1 Si 2.41, 8 Ni 2.43-2.48, 3 Li 2.45-2.46
Ni 0.1222 0.3711 0.1262  1 Si 2.41, 8 Ni 2.43-2.48, 3 Li 2.45-2.46

Results
DOS at the Fermi energy in states/eV per cell: 15.30
Crystal system: orthorhombic
Formation energy from raw total energies in eV per atom: -0.217
VASP energy in eV per atom: -13.8975
Total magnetic moment in μB/f.u.: 2.31



# 2
Entry from Alexandria: a PBEsol-optimized structure of LiNi2Sn2 (meta-GGA SCAN).

abc: 3.0581 7.1788 7.1788
angles: 90.00 90.00 90.00
Closest atoms and distances in Å follow each position.
Fractional positions:
Ni 0.0000 0.3732 0.8732  6 Sn 2.57-2.64, 1 Ni 2.58, 2 Li 2.83
Sn 0.5000 0.8303 0.3303  6 Ni 2.57-2.64
Ni 0.0000 0.8732 0.6268  6 Sn 2.57-2.64, 1 Ni 2.58, 2 Li 2.83
Ni 0.0000 0.6268 0.1268  6 Sn 2.57-2.64, 1 Ni 2.58, 2 Li 2.83
Sn 0.5000 0.1697 0.6697  6 Ni 2.57-2.64
Li 0.0000 0.5000 0.5000  4 Ni 2.83, 2 Li 3.06, 8 Sn 3.07
Li 0.0000 0.0000 0.0000  4 Ni 2.83, 2 Li 3.06, 8 Sn 3.07
Ni 0.0000 0.1268 0.3732  6 Sn 2.57-2.64, 1 Ni 2.58, 2 Li 2.83
Sn 0.5000 0.6697 0.8303  6 Ni 2.57-2.64
Sn 0.5000 0.3303 0.1697  6 Ni 2.57-2.64

Results
DOS at the Fermi energy in states/eV per cell: 3.50
Crystal system: tetragonal
VASP energy in eV per atom: -21.4919
Total magnetic moment in μB/f.u.: 0.00



> What is the total magnetic moment in the second record?

0.00 μB/f.u.